Here is AcPrNdMg after structural relaxation from Alexandria. Energies are from PBE.

Unit cell a=3.8938 b=3.8938 c=9.1738 alpha=90.00 beta=90.00 gamma=90.00
Space group P4mm (No. 99)
One atom of each set of equivalent atoms:
Ac 0.0000 0.0000 0.0000 [1 per cell]
Pr 0.5000 0.5000 0.7123 [1 per cell]
Nd 0.5000 0.5000 0.2847 [1 per cell]
Mg 0.0000 0.0000 0.4963 [1 per cell]

Values from the calculation:
- Volume: 34.77 Å³/atom
- E: -3.854 eV per atom